No. 1
Np4Ta3SiC8 PBE-GGA optimized geometry; formation energy from raw total energies = -0.089 eV/atom
1.0
-2.226 -5.684 -2.251
2.682 -3.121 5.225
-4.116 4.936 1.011
C Ta Np Si
8 3 4 1
Cartesian
-2.643 1.263 4.223 C
-1.017 -5.131 -0.239 C
-1.962 0.228 1.365 C
-1.698 -4.096 2.619 C
-3.117 -2.612 0.277 C
-0.543 -1.256 3.708 C
0.119 -2.231 0.910 C
-3.779 -1.637 3.074 C
-0.717 0.908 3.118 Ta
0.228 -4.402 1.487 Ta
-1.830 -1.934 1.992 Ta
-3.171 -0.374 -0.620 Np
-2.058 2.468 0.505 Np
-1.113 -2.842 -1.126 Np
0.000 0.000 0.000 Np
1.341 -1.560 2.613 Si



No. 2
Li2TaSnF PBE-GGA optimized geometry; formation energy from raw total energies = -0.653 eV/atom
1.0
3.902 0.000 0.000
0.000 5.800 0.000
0.000 0.000 3.902
Li F Sn Ta
2 1 1 1
Cartesian
1.951 0.000 0.000 Li
0.000 0.000 1.951 Li
0.000 0.000 0.000 F
0.000 2.900 0.000 Sn
1.951 2.900 1.951 Ta



Which of these has the lowest formation energy from raw total energies?
Li2TaSnF